1.
The following is a PBE-GGA calculation of a relaxed structure of Tb2Ho3Tm7, from the Alexandria database.

Calculated total energy, eV/f.u.: -53.3
Formation energy from the elements, meV/atom: 84.3
ΔE to the lowest computed polymorph, eV/atom: 0.000

The structure in CIF format:
```
data_Tb2Ho3Tm7
_chemical_formula_sum 'Tb2 Ho3 Tm7'
_cell_length_a 6.2317
_cell_length_b 3.4687
_cell_length_c 17.1693
_cell_angle_alpha 90.00
_cell_angle_beta 96.25
_cell_angle_gamma 90.00
_space_group_name_H-M_alt 'P 1 2/m 1'
_space_group_IT_number 10
loop_
_space_group_symop_operation_xyz
'x,y,z'
'-x,-y,-z'
'-x,y,-z'
'x,-y,z'
loop_
_atom_site_label
_atom_site_fract_x
_atom_site_fract_y
_atom_site_fract_z
_atom_site_occupancy
Tb1 0.0619 0.0000 0.1740 1
Ho1 0.4489 0.5000 0.8426 1
Ho2 0.5000 0.0000 0.5000 1
Tm1 0.0000 0.5000 0.5000 1
Tm2 0.2251 0.0000 0.6667 1
Tm3 0.2549 0.0000 0.9989 1
Tm4 0.2750 0.5000 0.3355 1
```

2.
The following is a PBE-GGA calculation of a relaxed structure of Tb3Ho2Tm3, from the Alexandria database.

Calculated total energy, eV/f.u.: -35.7
Formation energy from the elements, meV/atom: 99.6
ΔE to the lowest computed polymorph, eV/atom: 0.000

The structure in CIF format:
```
data_Tb3Ho2Tm3
_chemical_formula_sum 'Tb6 Ho4 Tm6'
_cell_length_a 15.9109
_cell_length_b 5.6421
_cell_length_c 5.9671
_cell_angle_alpha 90.00
_cell_angle_beta 111.32
_cell_angle_gamma 90.00
_space_group_name_H-M_alt 'C 1 2/m 1'
_space_group_IT_number 12
loop_
_space_group_symop_operation_xyz
'x,y,z'
'-x,-y,-z'
'-x,y,-z'
'x,-y,z'
'x+1/2,y+1/2,z'
'-x+1/2,-y+1/2,-z'
'-x+1/2,y+1/2,-z'
'x+1/2,-y+1/2,z'
loop_
_atom_site_label
_atom_site_fract_x
_atom_site_fract_y
_atom_site_fract_z
_atom_site_occupancy
Tb1 0.0000 0.0000 0.0000 1
Tb2 0.1320 0.0000 0.6934 1
Ho1 0.2497 0.0000 0.3173 1
Tm1 0.0000 0.5000 0.5000 1
Tm2 0.1312 0.5000 0.0770 1
```